Entry 1:
Compound: IrPbCl2
Source: Alexandria
Functional: PBEsol
Structure: relaxed

abc: 3.143 4.483 5.470
angles: 90.00 90.00 90.00
Fractional positions:
Pb 0.000 0.500 0.500
Ir 0.500 0.500 0.000
Cl 0.000 0.000 0.000
Cl 0.500 0.000 0.500

Values from the calculation:
The energy comes out at -16.5 eV for the cell shown. The calculation puts the energy relative to the lowest polymorph listed for this composition at 173 meV/atom. The formation energy (no corrections) comes out at 322 meV/atom.

---

Entry 2:
Compound: LiYAu2
Source: Alexandria
Functional: PBEsol
Structure: relaxed

abc: 4.196 4.201 5.158
angles: 114.03 114.00 90.00
Fractional positions:
Y 0.250 0.750 0.500
Au 0.000 0.000 0.000
Au 0.750 0.250 0.500
Li 0.500 0.500 0.000

Values from the calculation:
The energy comes out at -19.2 eV for the cell shown. The calculation puts the energy relative to the lowest polymorph listed for this composition at 50 meV/atom. The formation energy is -2.6 eV/f.u.

---

Entry 3:
Compound: Y2Si2Os
Source: Alexandria
Functional: PBEsol
Structure: relaxed

abc: 4.290 6.554 6.554
angles: 90.00 90.00 90.00
Fractional positions:
Y 0.500 0.176 0.676
Y 0.500 0.676 0.824
Y 0.500 0.824 0.324
Y 0.500 0.324 0.176
Si 0.000 0.369 0.869
Si 0.000 0.869 0.631
Si 0.000 0.631 0.131
Si 0.000 0.131 0.369
Os 0.000 0.000 0.000
Os 0.000 0.500 0.500

Values from the calculation:
The energy comes out at -82.5 eV for the cell shown. The formation energy (no corrections) comes out at -775 meV/atom.

---

Entry 4:
Compound: LaScSi
Source: Alexandria
Functional: PBEsol
Structure: relaxed

abc: 4.278 4.278 8.510
angles: 104.56 104.56 90.00
Fractional positions:
Sc 0.500 0.000 0.000
Sc 0.000 0.500 0.000
Si 0.882 0.882 0.763
Si 0.118 0.118 0.237
La 0.677 0.677 0.355
La 0.323 0.323 0.645

Values from the calculation:
The energy comes out at -39.2 eV for the cell shown. The calculation puts the energy relative to the lowest polymorph listed for this composition at 0 meV/atom. The formation energy (no corrections) comes out at -636 meV/atom.

---

Entry 5:
Compound: Re2NiW
Source: Alexandria
Functional: PBEsol
Structure: relaxed

abc: 2.713 2.713 8.985
angles: 81.32 81.32 60.00
Fractional positions:
Ni 0.000 0.000 0.000
Re 0.255 0.255 0.236
Re 0.745 0.745 0.764
W 0.500 0.500 0.500

Values from the calculation:
The energy comes out at -45.7 eV for the cell shown. The calculation puts the energy relative to the lowest polymorph listed for this composition at 236 meV/atom. The formation energy is 1.0 eV/f.u.

---

Entry 6:
Compound: CsGa2GeSb
Source: Alexandria
Functional: PBEsol
Structure: relaxed

abc: 5.336 5.336 5.396
angles: 90.00 90.00 90.00
Fractional positions:
Cs 0.500 0.500 0.500
Sb 0.000 0.000 0.500
Ge 0.000 0.000 0.000
Ga 0.000 0.500 0.000
Ga 0.500 0.000 0.000

Values from the calculation:
The energy comes out at -16.0 eV for the cell shown. The formation energy (no corrections) comes out at 217 meV/atom.

---

Entry 7:
Compound: LiCa2Ni
Source: Alexandria
Functional: PBEsol
Structure: relaxed

abc: 3.448 3.448 8.195
angles: 90.00 90.00 90.00
Fractional positions:
Ni 0.500 0.500 0.000
Ca 0.000 0.000 0.198
Ca 0.000 0.000 0.802
Li 0.500 0.500 0.500

Values from the calculation:
The energy comes out at -12.3 eV for the cell shown. The formation energy is 0.1 eV/f.u.

---

Entry 8:
Compound: Be2AsPt
Source: Alexandria
Functional: PBEsol
Structure: relaxed

abc: 2.731 2.739 7.014
angles: 90.00 90.00 90.00
Fractional positions:
Be 0.000 0.500 0.797
Be 0.000 0.500 0.203
As 0.500 0.500 0.500
Pt 0.500 0.000 0.000

Values from the calculation:
The energy comes out at -21.1 eV for the cell shown. The formation energy is -1.0 eV/f.u.

---

Entry 9:
Compound: Nd3GdAl4O12
Source: Alexandria
Functional: PBEsol
Structure: relaxed

abc: 5.283 5.309 7.479
angles: 90.00 90.00 90.10
Fractional positions:
Nd 0.479 0.493 0.000
Nd 0.981 0.006 0.000
Nd 0.520 0.505 0.500
Gd 0.027 0.993 0.500
Al 0.000 0.500 0.749
Al 0.501 0.000 0.251
Al 0.000 0.500 0.251
Al 0.501 0.000 0.749
O 0.230 0.231 0.784
O 0.729 0.271 0.217
O 0.773 0.773 0.289
O 0.268 0.732 0.716
O 0.773 0.773 0.711
O 0.268 0.732 0.284
O 0.230 0.231 0.216
O 0.729 0.271 0.783
O 0.003 0.563 0.000
O 0.509 0.936 0.000
O 0.996 0.427 0.500
O 0.485 0.063 0.500

Values from the calculation:
The energy comes out at -176.1 eV for the cell shown. The formation energy (no corrections) comes out at -3342 meV/atom.

---

Entry 10:
Compound: CdSb2As
Source: Alexandria
Functional: PBEsol
Structure: relaxed

abc: 5.073 5.073 5.073
angles: 60.00 60.00 60.00
Fractional positions:
Sb 0.250 0.250 0.250
Sb 0.750 0.750 0.750
As 0.000 0.000 0.000
Cd 0.500 0.500 0.500

Values from the calculation:
The energy comes out at -14.5 eV for the cell shown. The calculation puts the energy relative to the lowest polymorph listed for this composition at 190 meV/atom. The formation energy (no corrections) comes out at 233 meV/atom.

---

Entry 11:
Compound: Na3DyTi2Nb2O12
Source: Alexandria
Functional: PBEsol
Structure: relaxed

abc: 5.383 5.522 7.699
angles: 89.99 89.95 89.24
Fractional positions:
Na 0.496 0.530 0.749
Na 0.995 0.005 0.752
Na 0.511 0.461 0.250
Dy 0.991 0.934 0.250
Ti 0.490 0.986 0.006
Ti 0.004 0.479 0.496
Nb 0.493 0.995 0.509
Nb 0.004 0.479 0.991
O 0.201 0.807 0.980
O 0.298 0.309 0.536
O 0.807 0.208 0.449
O 0.717 0.731 0.053
O 0.804 0.203 0.052
O 0.721 0.729 0.447
O 0.196 0.806 0.521
O 0.305 0.301 0.961
O 0.563 0.981 0.754
O 0.924 0.495 0.746
O 0.403 0.033 0.247
O 0.076 0.528 0.252

Values from the calculation:
The energy comes out at -165.4 eV for the cell shown. The calculation puts the energy relative to the lowest polymorph listed for this composition at 6 meV/atom. The formation energy (no corrections) comes out at -2747 meV/atom.

---

Entry 12:
Compound: Ta2AsPb
Source: Alexandria
Functional: PBEsol
Structure: relaxed

abc: 3.086 5.287 5.287
angles: 110.97 101.35 101.35
Fractional positions:
Pb 0.500 0.000 0.000
As 0.500 0.500 0.500
Ta 0.000 0.000 0.500
Ta 0.000 0.500 0.000

Values from the calculation:
The energy comes out at -32.5 eV for the cell shown. The formation energy is 1.7 eV/f.u.

---

| no. | magnetization (μB/atom) |
| --- | --- |
| 1 | 0.000 |
| 2 | 0.000 |
| 3 | 0.000 |
| 4 | 0.000 |
| 5 | 0.000 |
| 6 | 0.000 |
| 7 | 0.000 |
| 8 | 0.000 |
| 9 | 0.348 |
| 10 | 0.000 |
| 11 | 0.000 |
| 12 | 0.000 |